First-principles (PBE with a Hubbard U) data for an optimized crystal structure of Li4PaCo3O12, as listed in Alexandria via LeMat-Bulk.

Results
Crystal system: cubic
Space group: No. 204
Volume, Å³ per cell: 193
Raw total energy, eV/atom: -5.87

The structure in POSCAR format:
```
Li4PaCo3O12
1.0
6.307 0.000 0.000
-2.102 5.946 0.000
-2.102 -2.973 5.149
Li Pa Co O
4 1 3 12
Direct
0.500 0.000 0.000
0.500 0.500 0.500
0.000 0.500 0.000
0.000 0.000 0.500
0.000 0.000 0.000
0.000 0.500 0.500
0.500 0.500 0.000
0.500 0.000 0.500
0.308 0.845 0.153
0.692 0.155 0.847
0.692 0.845 0.537
0.847 0.692 0.155
0.845 0.153 0.308
0.155 0.463 0.308
0.463 0.308 0.155
0.155 0.847 0.692
0.308 0.155 0.463
0.153 0.308 0.845
0.845 0.537 0.692
0.537 0.692 0.845
```

=====

First-principles (PBE with a Hubbard U) data for an optimized crystal structure of LiPaCo2O6, as listed in Alexandria via LeMat-Bulk.

Results
Crystal system: trigonal
Space group: No. 146
Volume, Å³ per cell: 109
Raw total energy, eV/atom: -7.05

The structure in POSCAR format:
```
LiPaCo2O6
1.0
5.262 0.000 0.000
2.631 4.557 0.000
2.631 1.519 4.557
Li Pa Co O
1 1 2 6
Direct
0.306 0.305 0.083
0.800 0.800 0.599
0.519 0.519 0.443
0.013 0.013 0.962
0.653 0.223 0.234
0.223 0.890 0.234
0.890 0.653 0.234
0.358 0.755 0.742
0.755 0.145 0.742
0.145 0.358 0.742
```

=====

First-principles (PBE with a Hubbard U) data for an optimized crystal structure of LiPa2CoO6, as listed in Alexandria via LeMat-Bulk.

Results
Crystal system: tetragonal
Space group: No. 99
Volume, Å³ per cell: 125
Raw total energy, eV/atom: -7.99

The structure in POSCAR format:
```
LiPa2CoO6
1.0
-0.735 -3.811 -2.813
5.035 -0.553 -0.567
0.126 -3.042 4.088
Li Pa Co O
1 2 1 6
Direct
0.563 0.500 0.500
0.002 0.500 0.000
0.002 0.000 0.500
0.621 0.000 0.000
0.730 0.252 0.252
0.730 0.252 0.748
0.166 0.500 0.500
0.174 0.000 0.000
0.730 0.748 0.748
0.730 0.748 0.252
```

=====

First-principles (PBE with a Hubbard U) data for an optimized crystal structure of LiPaCoO6, as listed in Alexandria via LeMat-Bulk.

Results
Crystal system: trigonal
Space group: No. 149
Volume, Å³ per cell: 102
Raw total energy, eV/atom: -6.87

The structure in POSCAR format:
```
LiPaCoO6
1.0
4.660 0.000 0.000
0.000 5.019 0.000
0.000 -2.510 4.347
Li Pa Co O
1 1 1 6
Direct
0.500 0.667 0.333
0.000 0.333 0.667
0.500 0.000 0.000
0.727 0.698 0.698
0.727 0.302 0.000
0.727 0.000 0.302
0.273 0.302 0.302
0.273 0.698 0.000
0.273 0.000 0.698
```

=====

First-principles (PBE with a Hubbard U) data for an optimized crystal structure of Li2CoPd2O6, as listed in Alexandria via LeMat-Bulk.

Results
Crystal system: monoclinic
Space group: No. 12
Volume, Å³ per cell: 116
Raw total energy, eV/atom: -5.38

The structure in POSCAR format:
```
Li2CoPd2O6
1.0
5.189 0.057 0.058
-2.515 4.539 0.058
-0.953 -1.638 4.835
Li Co Pd O
2 1 2 6
Direct
0.836 0.164 0.000
0.164 0.836 0.000
0.000 0.000 0.500
0.335 0.665 0.500
0.665 0.335 0.500
0.767 0.767 0.715
0.059 0.386 0.718
0.233 0.233 0.285
0.386 0.059 0.718
0.941 0.614 0.282
0.614 0.941 0.282
```

=====

First-principles (PBE with a Hubbard U) data for an optimized crystal structure of Li3CoPd3O8, as listed in Alexandria via LeMat-Bulk.

Results
Crystal system: monoclinic
Space group: No. 12
Volume, Å³ per cell: 159
Raw total energy, eV/atom: -5.34

The structure in POSCAR format:
```
Li3CoPd3O8
1.0
-1.837 2.433 -5.042
-0.628 -6.123 0.716
-3.620 3.472 2.995
Li Co Pd O
3 1 3 8
Direct
0.000 0.000 0.000
0.000 0.500 0.000
0.500 0.500 0.000
0.000 0.000 0.500
0.500 0.000 0.500
0.500 0.500 0.500
0.000 0.500 0.500
0.214 0.428 0.225
0.786 0.572 0.775
0.787 0.574 0.291
0.213 0.426 0.709
0.784 0.048 0.302
0.216 0.952 0.698
0.265 0.048 0.302
0.735 0.952 0.698
```

=====

First-principles (PBE with a Hubbard U) data for an optimized crystal structure of Li2CoPdO4, as listed in Alexandria via LeMat-Bulk.

Results
Crystal system: monoclinic
Space group: No. 10
Volume, Å³ per cell: 75
Raw total energy, eV/atom: -5.39

The structure in POSCAR format:
```
Li2CoPdO4
1.0
-2.874 -0.140 0.422
-0.711 -1.234 -5.254
0.661 -4.128 3.129
Li Co Pd O
2 1 1 4
Direct
0.500 0.000 0.500
0.000 0.500 0.500
0.500 0.500 0.000
0.000 0.000 0.000
0.500 0.277 0.208
0.500 0.723 0.792
0.000 0.282 0.761
0.000 0.718 0.239
```

=====

First-principles (PBE with a Hubbard U) data for an optimized crystal structure of Li4CoPd3O8, as listed in Alexandria via LeMat-Bulk.

Results
Crystal system: monoclinic
Space group: No. 12
Volume, Å³ per cell: 162
Raw total energy, eV/atom: -5.31

The structure in POSCAR format:
```
Li4CoPd3O8
1.0
5.832 0.000 0.000
0.000 5.644 -0.332
-2.916 -3.060 5.094
Li Co Pd O
4 1 3 8
Direct
0.500 0.000 0.000
0.500 0.000 0.500
0.000 0.000 0.000
0.000 0.000 0.500
0.000 0.500 0.000
0.500 0.500 0.000
0.500 0.500 0.500
0.000 0.500 0.500
0.271 0.770 0.062
0.196 0.673 0.392
0.294 0.313 0.587
0.791 0.770 0.062
0.209 0.230 0.938
0.706 0.687 0.413
0.804 0.327 0.608
0.729 0.230 0.938
```

=====

First-principles (PBE with a Hubbard U) data for an optimized crystal structure of Li3Pm2CoO6, as listed in Alexandria via LeMat-Bulk.

Results
Crystal system: monoclinic
Space group: No. 12
Volume, Å³ per cell: 147
Raw total energy, eV/atom: -6.38

The structure in POSCAR format:
```
Li3Pm2CoO6
1.0
-1.094 3.522 4.604
-4.231 -2.984 -2.829
2.059 -4.033 2.662
Li Pm Co O
3 2 1 6
Direct
0.114 0.886 0.500
0.886 0.114 0.500
0.500 0.500 0.500
0.333 0.667 0.000
0.667 0.333 0.000
0.000 0.000 0.000
0.943 0.653 0.771
0.747 0.747 0.243
0.057 0.347 0.229
0.653 0.943 0.771
0.253 0.253 0.757
0.347 0.057 0.229
```

=====

First-principles (PBE with a Hubbard U) data for an optimized crystal structure of Li2PmCoO4, as listed in Alexandria via LeMat-Bulk.

Results
Crystal system: tetragonal
Space group: No. 121
Volume, Å³ per cell: 90
Raw total energy, eV/atom: -6.26

The structure in POSCAR format:
```
Li2PmCoO4
1.0
-4.641 0.939 -2.342
-4.206 -2.106 1.532
-2.587 4.135 0.826
Li Pm Co O
2 1 1 4
Direct
0.500 0.750 0.250
0.500 0.250 0.750
0.000 0.000 0.000
0.000 0.500 0.500
0.572 0.561 0.867
0.428 0.133 0.439
0.000 0.439 0.133
0.000 0.867 0.561
```

=====

First-principles (PBE with a Hubbard U) data for an optimized crystal structure of Li2Pm2CoO6, as listed in Alexandria via LeMat-Bulk.

Results
Crystal system: trigonal
Space group: No. 166
Volume, Å³ per cell: 123
Raw total energy, eV/atom: -6.41

The structure in POSCAR format:
```
Li2Pm2CoO6
1.0
5.518 0.000 0.000
2.759 4.779 0.000
2.759 1.593 4.660
Li Pm Co O
2 2 1 6
Direct
0.427 0.427 0.720
0.573 0.573 0.280
0.780 0.780 0.661
0.220 0.220 0.339
0.000 0.000 0.000
0.764 0.764 0.254
0.219 0.764 0.254
0.764 0.219 0.254
0.236 0.781 0.746
0.781 0.236 0.746
0.236 0.236 0.746
```

=====

First-principles (PBE with a Hubbard U) data for an optimized crystal structure of LiPr2CoO6, as listed in Alexandria via LeMat-Bulk.

Results
Crystal system: monoclinic
Space group: No. 14
Volume, Å³ per cell: 229
Raw total energy, eV/atom: -6.85

The structure in POSCAR format:
```
LiPr2CoO6
1.0
-1.395 -5.242 0.234
2.627 -0.486 4.779
-6.466 1.872 3.745
Li Pr Co O
2 4 2 12
Direct
0.500 0.000 0.000
0.000 0.500 0.500
0.009 0.955 0.252
0.509 0.545 0.752
0.991 0.045 0.748
0.491 0.455 0.248
0.500 0.000 0.500
0.000 0.500 0.000
0.273 0.704 0.038
0.773 0.796 0.538
0.727 0.296 0.962
0.227 0.204 0.462
0.302 0.730 0.464
0.802 0.770 0.964
0.698 0.270 0.536
0.198 0.230 0.036
0.932 0.510 0.239
0.432 0.990 0.739
0.068 0.490 0.761
0.568 0.010 0.261
```

=====

Q: Look up the raw total energy of the second one.
A: -7.05 eV/atom

=====

Q: What is the raw total energy in the fourth record?
A: -6.87 eV/atom

=====

Q: raw total energy of number 10 (Li2PmCoO4)?
A: -6.26 eV/atom